# NiHgSe2

An optimized crystal structure of NiHgSe2 (PBE-GGA, Alexandria).

The spin magnetization comes out at 0.000 μB/f.u. For the uncorrected formation energy, the calculation gives -0.1951 eV/atom. The value obtained for the density of states at the Fermi level is 1.6 states/eV/cell.

Cell lengths 3.578, 3.578, 17.274 Å; angles 90.00, 90.00, 120.00 degrees
Fractional positions:
1 Hg 0.333 0.667 0.250
2 Hg 0.667 0.333 0.750
3 Se 0.333 0.667 0.071
4 Se 0.667 0.333 0.929
5 Se 0.667 0.333 0.571
6 Se 0.333 0.667 0.429
7 Ni 0.000 0.000 0.000
8 Ni 0.000 0.000 0.500